An optimized crystal structure of Rb4PdCl5, computed with GGA-PBE.

## Properties
- total DFT energy (no corrections) (eV/atom) = -3.31
- raw formation energy (eV per atom) = -1.476

Unit cell a=7.8208 b=7.8208 c=7.8208 alpha=100.74 beta=100.74 gamma=128.84
Closest atoms and distances in Å follow each position.
Fractional positions:
Rb 0.0937 0.7061 0.7998  5 Cl 3.08-3.41
Rb 0.2939 0.0937 0.3876  5 Cl 3.08-3.41
Rb 0.7061 0.9063 0.6124  5 Cl 3.08-3.41
Rb 0.9063 0.2939 0.2002  5 Cl 3.08-3.41
Pd 0.4989 0.4989 0.0000  4 Cl 2.65
Cl 0.0043 0.0043 0.0000  4 Rb 3.08, 2 Pd 3.34-3.41
Cl 0.2472 0.4194 0.6661  1 Pd 2.65
Cl 0.4194 0.7533 0.1721  1 Pd 2.65
Cl 0.5812 0.2472 0.8279  1 Pd 2.65
Cl 0.7533 0.5812 0.3339  1 Pd 2.65